A geometry-optimized Rb2SmCoO4 structure, computed with PBE+U.

Calculated values
DFT total energy = -352.76 eV per cell
volume = 1752.0 Å³/cell
ρ = 3.4 Mg/m³

Lattice parameters (Å, degrees): 5.8156 12.8457 23.4519 90.00 90.00 90.00
With the nearest neighbours (Å) after each atom.
Space group Fddd (No. 70, origin choice 2)
Asymmetric unit:
1 Rb 0.1250 0.1250 0.3188 x16  2 O 2.96
2 Sm 0.1250 0.1250 0.1250 x8  4 O 2.19
3 Co 0.1250 0.1250 0.6250 x8  4 O 1.91
4 O 0.0901 0.2831 0.8401 x32  1 Co 1.91